1.
Compound: Pm2NdTmP4
Source: the Alexandria database
Functional: PBE
Structure: optimized geometry Values from VASP.

Structure (Quantum ESPRESSO input):
```
&SYSTEM
  ibrav = 0, nat = 8, ntyp = 4
/
ATOMIC_SPECIES
Pm 145.00 Pm.upf
Nd 144.24 Nd.upf
Tm 168.93 Tm.upf
P 30.97 P.upf
CELL_PARAMETERS angstrom
7.0934 0.0000 0.0000
0.0000 4.0996 0.0000
-2.3636 0.0000 6.6885
ATOMIC_POSITIONS angstrom
Pm 0.0000 0.0000 0.0000
Pm 3.5467 2.0498 0.0000
Nd -1.1818 2.0498 3.3443
Tm 2.3649 0.0000 3.3443
P 0.0430 0.0000 5.0007
P 1.2240 2.0498 1.7172
P 3.5058 2.0498 4.9713
P 4.6868 0.0000 1.6878
```


2.
Compound: PmNd2TmP4
Source: the Alexandria database
Functional: PBE
Structure: optimized geometry Values from VASP.

Structure (Quantum ESPRESSO input):
```
&SYSTEM
  ibrav = 0, nat = 8, ntyp = 4
/
ATOMIC_SPECIES
Pm 145.00 Pm.upf
Nd 144.24 Nd.upf
Tm 168.93 Tm.upf
P 30.97 P.upf
CELL_PARAMETERS angstrom
7.1084 0.0000 0.0000
0.0000 4.1083 0.0000
-2.3688 0.0000 6.7026
ATOMIC_POSITIONS angstrom
Pm 0.0000 0.0000 0.0000
Nd 2.3698 0.0000 3.3513
Nd 3.5542 2.0542 0.0000
Tm -1.1844 2.0542 3.3513
P -0.0476 0.0000 4.9728
P 1.1356 2.0542 1.6963
P 3.6039 2.0542 5.0063
P 4.7872 0.0000 1.7298
```


3.
Compound: PmNd2UP4
Source: the Alexandria database
Functional: PBE
Structure: optimized geometry Values from VASP.

Structure (Quantum ESPRESSO input):
```
&SYSTEM
  ibrav = 0, nat = 8, ntyp = 4
/
ATOMIC_SPECIES
Pm 145.00 Pm.upf
Nd 144.24 Nd.upf
U 238.03 U.upf
P 30.97 P.upf
CELL_PARAMETERS angstrom
7.0892 0.0000 0.0000
0.0000 4.0793 0.0000
-2.3315 0.0000 6.7010
ATOMIC_POSITIONS angstrom
Pm 0.0000 0.0000 0.0000
Nd -1.1658 2.0396 3.3505
Nd 2.3789 0.0000 3.3505
U 3.5446 2.0396 0.0000
P 1.2675 2.0396 1.6048
P 0.0798 0.0000 5.1198
P 4.6779 0.0000 1.5812
P 3.4902 2.0396 5.0961
```


4.
Compound: PmNdY2P4
Source: the Alexandria database
Functional: PBE
Structure: optimized geometry Values from VASP.

Structure (Quantum ESPRESSO input):
```
&SYSTEM
  ibrav = 0, nat = 8, ntyp = 4
/
ATOMIC_SPECIES
Pm 145.00 Pm.upf
Nd 144.24 Nd.upf
Y 88.91 Y.upf
P 30.97 P.upf
CELL_PARAMETERS angstrom
7.0672 0.0000 0.0000
0.0000 4.0849 0.0000
-2.3576 0.0000 6.6671
ATOMIC_POSITIONS angstrom
Pm 0.0000 0.0000 0.0000
Nd -1.1788 2.0424 3.3335
Y 2.3548 0.0000 3.3335
Y 3.5336 2.0424 0.0000
P 1.2263 2.0424 1.6772
P 0.0484 0.0000 5.0248
P 4.6612 0.0000 1.6423
P 3.4832 2.0424 4.9899
```


5.
Compound: Pm2NdYP4
Source: the Alexandria database
Functional: PBE
Structure: optimized geometry Values from VASP.

Structure (Quantum ESPRESSO input):
```
&SYSTEM
  ibrav = 0, nat = 8, ntyp = 4
/
ATOMIC_SPECIES
Pm 145.00 Pm.upf
Nd 144.24 Nd.upf
Y 88.91 Y.upf
P 30.97 P.upf
CELL_PARAMETERS angstrom
7.1208 0.0000 0.0000
0.0000 4.1149 0.0000
-2.3724 0.0000 6.7143
ATOMIC_POSITIONS angstrom
Pm 0.0000 0.0000 0.0000
Pm 3.5604 2.0575 0.0000
Nd -1.1862 2.0575 3.3571
Y 2.3742 0.0000 3.3571
P 0.0286 0.0000 5.0302
P 1.2150 2.0575 1.7043
P 3.5334 2.0575 5.0100
P 4.7198 0.0000 1.6841
```


6.
Compound: Pm2NdY3P6
Source: the Alexandria database
Functional: PBE
Structure: optimized geometry Values from VASP.

Structure (Quantum ESPRESSO input):
```
&SYSTEM
  ibrav = 0, nat = 12, ntyp = 4
/
ATOMIC_SPECIES
Pm 145.00 Pm.upf
Nd 144.24 Nd.upf
Y 88.91 Y.upf
P 30.97 P.upf
CELL_PARAMETERS angstrom
3.5340 -6.1199 0.0000
3.5340 6.1199 0.0000
-2.3532 0.0000 6.6597
ATOMIC_POSITIONS angstrom
Pm 3.5340 4.0795 0.0000
Pm 3.5340 -4.0795 0.0000
Nd 3.5340 0.0000 0.0000
Y -1.1766 0.0000 3.3299
Y 2.3574 2.0379 3.3299
Y 2.3574 -2.0379 3.3299
P -0.0020 2.0469 4.9449
P 1.1708 0.0000 1.7148
P -0.0020 -2.0469 4.9449
P 4.7168 2.0469 1.7148
P 3.5440 0.0000 4.9449
P 4.7168 -2.0469 1.7148
```


| no. | energy relative to the elements (eV per atom) | energy (eV/cell) |
| --- | --- | --- |
| 1 | -1.55 | -52.810 |
| 2 | -1.55 | -52.784 |
| 3 | -1.40 | -58.397 |
| 4 | -1.59 | -56.768 |
| 5 | -1.57 | -54.914 |
| 6 | -1.59 | -85.169 |